# 1
Here is LiMn2NiF at its PBEsol-relaxed geometry from Alexandria. Energies are from meta-GGA SCAN. Values from VASP.

Calculated values
* total magnetization: 9.421 μB per cell
* space group: P4/mmm, No. 123
* density of states at the Fermi level: 2.799 states/eV per cell

```
&SYSTEM
  ibrav = 0, nat = 5, ntyp = 4
/
ATOMIC_SPECIES
Li 6.94 Li.upf
Mn 54.94 Mn.upf
F 19.00 F.upf
Ni 58.69 Ni.upf
ATOMIC_POSITIONS crystal
Li 0.5000 0.0000 0.0000
Mn 0.0000 0.5000 0.0000
Mn 0.0000 0.0000 0.5000
F 0.5000 0.5000 0.5000
Ni 0.0000 0.0000 0.0000
CELL_PARAMETERS angstrom
-1.9924 -3.2428 -2.4114
3.1761 0.3545 -3.1010
2.4216 -3.0711 2.1292
```


# 2
Here is LiMn2O2F3 at its PBEsol-relaxed geometry from Alexandria. Energies are from meta-GGA SCAN. Values from VASP.

Calculated values
* distance to the lowest polymorph of the same formula: 1.7 kJ per mole of atoms
* total magnetization: 16.000 μB per cell
* space group: Cmcm, No. 63
* density of states at the Fermi level: 0.069 states/eV per cell

```
&SYSTEM
  ibrav = 0, nat = 16, ntyp = 4
/
ATOMIC_SPECIES
Li 6.94 Li.upf
O 16.00 O.upf
F 19.00 F.upf
Mn 54.94 Mn.upf
ATOMIC_POSITIONS crystal
Li 0.3265 0.6530 0.7500
Li 0.6735 0.3470 0.2500
O 0.8104 0.6208 0.4426
O 0.1896 0.3792 0.5574
O 0.1896 0.3792 0.9426
O 0.8104 0.6208 0.0574
F 0.4699 0.9399 0.8791
F 0.7465 0.4929 0.7500
F 0.2535 0.5071 0.2500
F 0.5301 0.0601 0.3791
F 0.5301 0.0601 0.1209
F 0.4699 0.9399 0.6209
Mn 0.3455 0.6910 0.4418
Mn 0.6545 0.3090 0.5582
Mn 0.6545 0.3090 0.9418
Mn 0.3455 0.6910 0.0582
CELL_PARAMETERS angstrom
-0.4631 3.0783 2.0107
-0.8677 -4.2231 2.8506
10.0057 -0.2460 2.6811
```


# 3
Here is Li2Mn4O5F3 at its PBEsol-relaxed geometry from Alexandria. Energies are from meta-GGA SCAN. Values from VASP.

Calculated values
* total magnetization: 17.000 μB per cell
* space group: Cm, No. 8

```
&SYSTEM
  ibrav = 0, nat = 14, ntyp = 4
/
ATOMIC_SPECIES
Mn 54.94 Mn.upf
F 19.00 F.upf
O 16.00 O.upf
Li 6.94 Li.upf
ATOMIC_POSITIONS crystal
Mn 0.6227 0.3748 0.7497
Mn 0.2768 0.7584 0.5169
Mn 0.1389 0.3898 0.7796
Mn 0.9805 0.9809 0.9617
F 0.8922 0.1463 0.2926
F 0.8584 0.6316 0.2631
F 0.3945 0.1195 0.2389
O 0.8662 0.1531 0.7352
O 0.3817 0.1635 0.7618
O 0.3817 0.5983 0.7618
O 0.3498 0.5991 0.1983
O 0.8662 0.5821 0.7352
Li 0.6203 0.3819 0.2526
Li 0.6203 0.8707 0.2526
CELL_PARAMETERS angstrom
-1.9080 -2.1150 -5.0054
-1.9077 -4.8365 2.7708
-1.9443 5.3639 1.7610
```


# 4
Here is LiMn3O2F6 at its PBEsol-relaxed geometry from Alexandria. Energies are from meta-GGA SCAN. Values from VASP.

Calculated values
* distance to the lowest polymorph of the same formula: 3.1 kJ per mole of atoms
* total magnetization: 24.000 μB per cell
* space group: P-1, No. 2

```
&SYSTEM
  ibrav = 0, nat = 24, ntyp = 4
/
ATOMIC_SPECIES
Mn 54.94 Mn.upf
O 16.00 O.upf
F 19.00 F.upf
Li 6.94 Li.upf
ATOMIC_POSITIONS crystal
Mn 0.7325 0.6876 0.3163
Mn 0.7601 0.1732 0.3280
Mn 0.7145 0.6646 0.8187
Mn 0.2399 0.8268 0.6720
Mn 0.2855 0.3354 0.1813
Mn 0.2675 0.3124 0.6837
O 0.4052 0.5765 0.6982
O 0.1128 0.0753 0.6940
O 0.8872 0.9247 0.3060
O 0.5948 0.4235 0.3018
F 0.1085 0.3142 0.4442
F 0.8915 0.6858 0.5558
F 0.0946 0.5729 0.1959
F 0.4012 0.8128 0.4396
F 0.5850 0.9248 0.8197
F 0.0431 0.7978 0.9011
F 0.4150 0.0752 0.1803
F 0.4319 0.3103 0.9168
F 0.9054 0.4271 0.8041
F 0.5681 0.6897 0.0832
F 0.9569 0.2022 0.0989
F 0.5988 0.1872 0.5604
Li 0.2134 0.8365 0.1649
Li 0.7866 0.1635 0.8351
CELL_PARAMETERS angstrom
5.1367 0.0078 0.0131
-0.0336 6.8281 -0.0042
-0.1081 -1.3781 7.3089
```


# 5
Here is LiMnOF2 at its PBEsol-relaxed geometry from Alexandria. Energies are from meta-GGA SCAN. Values from VASP.

Calculated values
* distance to the lowest polymorph of the same formula: 0.0 kJ per mole of atoms
* total magnetization: 16.000 μB per cell
* space group: C2/c, No. 15

```
&SYSTEM
  ibrav = 0, nat = 20, ntyp = 4
/
ATOMIC_SPECIES
Li 6.94 Li.upf
O 16.00 O.upf
Mn 54.94 Mn.upf
F 19.00 F.upf
ATOMIC_POSITIONS crystal
Li 0.1957 0.8441 0.6576
Li 0.6865 0.5381 0.8424
Li 0.8043 0.1559 0.3424
Li 0.3135 0.4619 0.1576
O 0.3963 0.8851 0.1797
O 0.7946 0.7833 0.6797
O 0.2054 0.2167 0.3203
O 0.6037 0.1149 0.8203
Mn 0.0784 0.8284 0.2500
Mn 0.5000 0.0000 0.0000
Mn 0.5000 0.5000 0.5000
Mn 0.9216 0.1716 0.7500
F 0.2707 0.2001 0.9744
F 0.7258 0.2963 0.5256
F 0.1199 0.5942 0.8445
F 0.7504 0.7246 0.3445
F 0.2496 0.2754 0.6555
F 0.8801 0.4058 0.1555
F 0.2742 0.7037 0.4744
F 0.7293 0.7999 0.0256
CELL_PARAMETERS angstrom
5.2860 -0.0036 -0.0109
-2.5584 4.6256 0.0109
-1.8128 -2.0461 8.3607
```


# 6
Here is Li4MnO2F3 at its PBEsol-relaxed geometry from Alexandria. Energies are from meta-GGA SCAN. Values from VASP.

Calculated values
* distance to the lowest polymorph of the same formula: 1.0 kJ per mole of atoms
* total magnetization: 4.000 μB per cell
* space group: Cm, No. 8

```
&SYSTEM
  ibrav = 0, nat = 10, ntyp = 4
/
ATOMIC_SPECIES
Li 6.94 Li.upf
O 16.00 O.upf
Mn 54.94 Mn.upf
F 19.00 F.upf
ATOMIC_POSITIONS crystal
Li 0.1958 0.2318 0.3767
Li 0.5803 0.6178 0.2216
Li 0.3886 0.4038 0.8190
Li 0.8027 0.8070 0.5876
O 0.0926 0.6264 0.1883
O 0.4992 0.0074 0.9943
Mn 0.0086 0.9753 0.0076
F 0.9208 0.3697 0.7887
F 0.6937 0.2112 0.4014
F 0.3065 0.7923 0.5947
CELL_PARAMETERS angstrom
-1.0701 -0.8684 -3.6084
3.4679 -2.6264 -2.4637
-2.2830 -4.6466 -0.2721
```


# 7
Here is LiMn2O2F3 at its PBEsol-relaxed geometry from Alexandria. Energies are from meta-GGA SCAN. Values from VASP.

Calculated values
* distance to the lowest polymorph of the same formula: 0.0 kJ per mole of atoms
* total magnetization: 16.000 μB per cell
* space group: C2/c, No. 15

```
&SYSTEM
  ibrav = 0, nat = 16, ntyp = 4
/
ATOMIC_SPECIES
Mn 54.94 Mn.upf
O 16.00 O.upf
F 19.00 F.upf
Li 6.94 Li.upf
ATOMIC_POSITIONS crystal
Mn 0.2148 0.3766 0.8660
Mn 0.1618 0.3766 0.3660
Mn 0.7852 0.6234 0.1340
Mn 0.8382 0.6234 0.6340
O 0.9795 0.6009 0.3667
O 0.3787 0.3991 0.1333
O 0.6213 0.6009 0.8667
O 0.0205 0.3991 0.6333
F 0.4159 0.2418 0.4454
F 0.8260 0.2418 0.9454
F 0.5841 0.7582 0.5546
F 0.7846 0.0000 0.2500
F 0.2154 0.0000 0.7500
F 0.1740 0.7582 0.0546
Li 0.5000 0.0000 0.5000
Li 0.5000 0.0000 0.0000
CELL_PARAMETERS angstrom
4.8743 0.0000 0.0000
-2.4371 5.4785 -0.0218
0.0000 -2.2797 6.3427
```


# 8
Here is LiMn7O9F3 at its PBEsol-relaxed geometry from Alexandria. Energies are from meta-GGA SCAN. Values from VASP.

Calculated values
* total magnetization: 29.000 μB per cell
* space group: R3, No. 146
* density of states at the Fermi level: 0.863 states/eV per cell

```
&SYSTEM
  ibrav = 0, nat = 20, ntyp = 4
/
ATOMIC_SPECIES
O 16.00 O.upf
F 19.00 F.upf
Mn 54.94 Mn.upf
Li 6.94 Li.upf
ATOMIC_POSITIONS crystal
O 0.3007 0.9597 0.0882
O 0.6897 0.0574 0.8725
O 0.0882 0.3007 0.9597
O 0.8725 0.6897 0.0574
O 0.0574 0.8725 0.6897
O 0.9597 0.0882 0.3007
O 0.4061 0.5728 0.8504
O 0.5728 0.8504 0.4061
O 0.8504 0.4061 0.5728
F 0.5841 0.3926 0.2204
F 0.2204 0.5841 0.3926
F 0.3926 0.2204 0.5841
Mn 0.2401 0.9422 0.4194
Mn 0.5481 0.7547 0.0843
Mn 0.9811 0.9811 0.9811
Mn 0.0843 0.5481 0.7547
Mn 0.9422 0.4194 0.2401
Mn 0.7547 0.0843 0.5481
Mn 0.4194 0.2401 0.9422
Li 0.5355 0.5355 0.5355
CELL_PARAMETERS angstrom
-2.5587 0.6313 5.3113
0.2624 -5.8882 0.6449
5.4058 0.6614 2.3442
```


# 9
Here is Li4MnO2F3 at its PBEsol-relaxed geometry from Alexandria. Energies are from meta-GGA SCAN. Values from VASP.

Calculated values
* distance to the lowest polymorph of the same formula: 0.0 kJ per mole of atoms
* total magnetization: 8.000 μB per cell
* space group: P-1, No. 2
* density of states at the Fermi level: 0.000 states/eV per cell

```
&SYSTEM
  ibrav = 0, nat = 20, ntyp = 4
/
ATOMIC_SPECIES
Li 6.94 Li.upf
F 19.00 F.upf
O 16.00 O.upf
Mn 54.94 Mn.upf
ATOMIC_POSITIONS crystal
Li 0.4920 0.7061 0.9097
Li 0.5080 0.2939 0.0903
Li 0.0000 0.5000 0.0000
Li 0.5042 0.1105 0.6855
Li 0.5000 0.5000 0.5000
Li 0.9936 0.2670 0.5937
Li 0.4958 0.8895 0.3145
Li 0.0064 0.7330 0.4063
F 0.2377 0.7109 0.6586
F 0.2638 0.3190 0.8509
F 0.7362 0.6810 0.1491
F 0.7623 0.2891 0.3414
F 0.2573 0.5176 0.2533
F 0.7427 0.4824 0.7467
O 0.2409 0.1068 0.4341
O 0.7725 0.0925 0.9582
O 0.2275 0.9075 0.0418
O 0.7591 0.8932 0.5659
Mn 0.0195 0.0965 0.2013
Mn 0.9805 0.9035 0.7987
CELL_PARAMETERS angstrom
4.9914 0.0274 0.0076
-0.6279 5.1345 0.0082
-1.7756 -2.7847 6.7324
```


# 10
Here is LiMn3O5F at its PBEsol-relaxed geometry from Alexandria. Energies are from meta-GGA SCAN. Values from VASP.

Calculated values
* total magnetization: 11.000 μB per cell
* space group: P1, No. 1
* density of states at the Fermi level: 1.440 states/eV per cell

```
&SYSTEM
  ibrav = 0, nat = 10, ntyp = 4
/
ATOMIC_SPECIES
Li 6.94 Li.upf
O 16.00 O.upf
Mn 54.94 Mn.upf
F 19.00 F.upf
ATOMIC_POSITIONS crystal
Li 0.0969 0.2449 0.3937
O 0.2786 0.2139 0.7713
O 0.5977 0.8614 0.7895
O 0.7071 0.7633 0.2432
O 0.9487 0.5165 0.7639
O 0.0511 0.5174 0.2456
Mn 0.8793 0.7359 0.5658
Mn 0.3426 0.6674 0.0158
Mn 0.6708 0.3198 0.9638
F 0.4272 0.1595 0.2474
CELL_PARAMETERS angstrom
4.8600 -0.0597 0.0051
-2.3378 4.4273 0.0055
0.0281 -2.6642 4.5544
```


# 11
Here is LiMnOF2 at its PBEsol-relaxed geometry from Alexandria. Energies are from meta-GGA SCAN. Values from VASP.

Calculated values
* distance to the lowest polymorph of the same formula: 0.4 kJ per mole of atoms
* total magnetization: 16.000 μB per cell
* space group: P-1, No. 2
* density of states at the Fermi level: 0.000 states/eV per cell

```
&SYSTEM
  ibrav = 0, nat = 20, ntyp = 4
/
ATOMIC_SPECIES
Mn 54.94 Mn.upf
Li 6.94 Li.upf
O 16.00 O.upf
F 19.00 F.upf
ATOMIC_POSITIONS crystal
Mn 0.2995 0.3373 0.0167
Mn 0.1582 0.1598 0.4866
Mn 0.8418 0.8402 0.5134
Mn 0.7005 0.6627 0.9833
Li 0.3902 0.4845 0.7095
Li 0.6098 0.5155 0.2905
Li 0.0639 0.0876 0.7926
Li 0.9361 0.9124 0.2074
O 0.0906 0.8654 0.6182
O 0.9094 0.1346 0.3818
O 0.9461 0.5954 0.1160
O 0.0539 0.4046 0.8840
F 0.4019 0.1593 0.6186
F 0.2072 0.5010 0.3750
F 0.7928 0.4990 0.6250
F 0.5925 0.2927 0.1312
F 0.3448 0.8954 0.1157
F 0.6552 0.1046 0.8843
F 0.4075 0.7073 0.8688
F 0.5981 0.8407 0.3814
CELL_PARAMETERS angstrom
-2.7937 3.8101 1.6048
-3.2262 -0.8710 3.8901
4.8531 3.2713 7.5980
```


# 12
Here is LiMn2OF5 at its PBEsol-relaxed geometry from Alexandria. Energies are from meta-GGA SCAN. Values from VASP.

Calculated values
* total magnetization: 32.000 μB per cell
* space group: Pca2_1, No. 29
* density of states at the Fermi level: 7.614 states/eV per cell

```
&SYSTEM
  ibrav = 0, nat = 36, ntyp = 4
/
ATOMIC_SPECIES
F 19.00 F.upf
Mn 54.94 Mn.upf
Li 6.94 Li.upf
O 16.00 O.upf
ATOMIC_POSITIONS crystal
F 0.9591 0.5872 0.1160
F 0.5118 0.9130 0.1189
F 0.0085 0.5814 0.2882
F 0.9908 0.5586 0.4594
F 0.5118 0.4130 0.3811
F 0.0092 0.5586 0.9594
F 0.5357 0.4275 0.7107
F 0.4882 0.4130 0.8811
F 0.9908 0.0586 0.0406
F 0.9915 0.0814 0.7118
F 0.9915 0.5814 0.7882
F 0.4643 0.4275 0.2107
F 0.0092 0.0586 0.5406
F 0.0409 0.0872 0.8840
F 0.4643 0.9275 0.2893
F 0.4882 0.9130 0.6189
F 0.0085 0.0814 0.2118
F 0.9591 0.0872 0.3840
F 0.5357 0.9275 0.7893
F 0.0409 0.5872 0.6160
Mn 0.2332 0.7519 0.1945
Mn 0.2811 0.2424 0.9716
Mn 0.2332 0.2519 0.3055
Mn 0.7189 0.2424 0.4716
Mn 0.7668 0.7519 0.6945
Mn 0.7668 0.2519 0.8055
Mn 0.7189 0.7424 0.0284
Mn 0.2811 0.7424 0.5284
Li 0.7317 0.2565 0.1331
Li 0.7317 0.7565 0.3669
Li 0.2683 0.2565 0.6331
Li 0.2683 0.7565 0.8669
O 0.4974 0.4314 0.5391
O 0.5026 0.9314 0.4609
O 0.4974 0.9314 0.9609
O 0.5026 0.4314 0.0391
CELL_PARAMETERS angstrom
-2.0623 3.8147 1.3610
-3.0319 -0.2649 -3.8515
-10.9652 -9.2341 9.2671
```


| no. | E_form (uncorrected) (eV per atom) |
| --- | --- |
| 1 | 0.009 |
| 2 | -2.614 |
| 3 | -2.440 |
| 4 | -2.683 |
| 5 | -2.679 |
| 6 | -2.702 |
| 7 | -2.631 |
| 8 | -2.287 |
| 9 | -2.712 |
| 10 | -2.268 |
| 11 | -2.674 |
| 12 | -2.734 |